Record 1
Below is crystalline KMn2Cl at its relaxed geometry, with properties calculated at the GGA-PBE level.

a b c (Å): 3.3485 3.3485 8.8356
angles (deg): 90.00 90.00 90.00
Closest atoms and distances in Å follow each position.
Fractional positions:
K  0.0000  0.0000  0.0000  4 Cl 2.97, 1 Mn 3.25
Mn  0.0000  0.0000  0.3682  4 Mn 2.76
Mn  0.5000  0.5000  0.5282  1 Cl 2.38
Cl  0.5000  0.5000  0.7978  1 Mn 2.38

V, Å³/atom: 24.77
Size of the total moment, Bohr magnetons per cell: 7.82
ΔE to the lowest computed polymorph, kcal/mol of atoms: 0.47
Formation energy without anion corrections, eV per atom: 0.0711

Record 2
Below is crystalline SrCa2 at its relaxed geometry, with properties calculated at the GGA-PBE level.

a b c (Å): 3.8901 3.8901 37.3762
angles (deg): 90.00 90.00 90.00
Closest atoms and distances in Å follow each position.
Fractional positions:
Sr  0.0000  0.2500  0.3750  4 Sr 3.89, 8 Ca 4.10
Sr  0.0000  0.7500  0.6250  4 Sr 3.89, 8 Ca 4.10
Sr  0.5000  0.2500  0.1250  4 Sr 3.89, 8 Ca 4.10
Sr  0.5000  0.7500  0.8750  4 Sr 3.89, 8 Ca 4.10
Ca  0.0000  0.2500  0.7938  6 Ca 3.81-3.89, 4 Sr 4.10
Ca  0.0000  0.2500  0.9562  6 Ca 3.81-3.89, 4 Sr 4.10
Ca  0.0000  0.7500  0.0438  6 Ca 3.81-3.89, 4 Sr 4.10
Ca  0.0000  0.7500  0.2062  6 Ca 3.81-3.89, 4 Sr 4.10
Ca  0.5000  0.2500  0.5438  6 Ca 3.81-3.89, 4 Sr 4.10
Ca  0.5000  0.2500  0.7062  6 Ca 3.81-3.89, 4 Sr 4.10
Ca  0.5000  0.7500  0.2938  6 Ca 3.81-3.89, 4 Sr 4.10
Ca  0.5000  0.7500  0.4562  6 Ca 3.81-3.89, 4 Sr 4.10

V, Å³/atom: 47.13
Size of the total moment, Bohr magnetons per cell: 0.00
ΔH_f (0 K), eV/atom: 0.11
ΔE to the lowest computed polymorph, kcal/mol of atoms: 2.20

Record 3
Below is crystalline Ca2TaAg at its relaxed geometry, with properties calculated at the GGA-PBE level.

a b c (Å): 3.2159 3.2159 9.3832
angles (deg): 90.00 90.00 90.00
Closest atoms and distances in Å follow each position.
Fractional positions:
Ca  0.0000  0.0000  0.2446  4 Ca 3.22, 4 Ag 3.23, 4 Ta 3.30
Ca  0.0000  0.0000  0.7554  4 Ca 3.22, 4 Ag 3.23, 4 Ta 3.30
Ta  0.5000  0.5000  0.5000  4 Ta 3.22, 8 Ca 3.30
Ag  0.5000  0.5000  0.0000  4 Ag 3.22, 8 Ca 3.23

V, Å³/atom: 24.26
Size of the total moment, Bohr magnetons per cell: 0.00
ΔH_f (0 K), eV/atom: 0.34
ΔE to the lowest computed polymorph, kcal/mol of atoms: 0.00